# TmMoPt PBE-GGA relaxed
# * energy relative to the elements: 178 kJ/mol of formula units
# * total DFT energy (no corrections): -6.512 eV per atom
# * V: 266.4 Å³ per cell
data_TmMoPt
_symmetry_space_group_name_H-M 'F -4 3 m'
_symmetry_Int_Tables_number 216
_symmetry_space_group_name_Hall 'F -4 2 3'
_cell_length_a 6.4341
_cell_length_b 6.4341
_cell_length_c 6.4341
_cell_angle_alpha 90.00
_cell_angle_beta 90.00
_cell_angle_gamma 90.00
loop_
_atom_site_label
_atom_site_fract_x
_atom_site_fract_y
_atom_site_fract_z
Tm1 0.0000 0.0000 0.0000
Mo1 0.2500 0.2500 0.7500
Pt1 0.2500 0.2500 0.2500